Record 1
Here is crystalline GaAgPb2 at its relaxed geometry from the Alexandria database. Energies are from GGA-PBE.

Unit cell a=3.3235 b=3.3235 c=33.0189 alpha=90.00 beta=90.00 gamma=120.00
Last column: nearest neighbours and their distance in Å.
Space group R-3m (No. 166, hexagonal axes)
Asymmetric unit:
Ga 0.0000 0.0000 0.0000 [3 per cell]  2 Pb 3.03, 6 Ga 3.32
Ag 0.0000 0.0000 0.5000 [3 per cell]  6 Pb 3.13, 6 Ag 3.32
Pb 0.0000 0.0000 0.0917 [6 per cell]  1 Ga 3.03, 3 Ag 3.13, 6 Pb 3.32

Values from the calculation:
**Total DFT energy (no corrections)**: -3.132 eV per atom
**Total magnetization**: 0.000 μB per formula unit


Record 2
Here is crystalline Rb2CaPbF6 at its relaxed geometry from the Alexandria database. Energies are from GGA-PBE.

Unit cell a=4.7119 b=4.7119 c=9.3767 alpha=90.00 beta=90.00 gamma=90.00
Last column: nearest neighbours and their distance in Å.
Space group P4/mmm (No. 123)
Asymmetric unit:
Rb 0.0000 0.0000 0.2374 [2 per cell]  12 F 3.24-3.41
Ca 0.5000 0.5000 0.0000 [1 per cell]  6 F 2.22-2.36
Pb 0.5000 0.5000 0.5000 [1 per cell]  6 F 2.36-2.47
F 0.0000 0.5000 0.0000 [2 per cell]  2 Ca 2.36
F 0.0000 0.5000 0.5000 [2 per cell]  2 Pb 2.36
F 0.5000 0.5000 0.2365 [2 per cell]  1 Ca 2.22, 1 Pb 2.47

Values from the calculation:
**Energy relative to the elements, uncorrected**: -2963 meV per atom
**Total DFT energy (no corrections)**: -4.851 eV per atom
**Total magnetization**: 0.000 μB per formula unit


Record 3
Here is crystalline La4Bi3H4 at its relaxed geometry from the Alexandria database. Energies are from GGA-PBE.

Unit cell a=7.9387 b=7.9387 c=7.9387 alpha=90.00 beta=90.00 gamma=90.00
Last column: nearest neighbours and their distance in Å.
Space group I-43m (No. 217)
Asymmetric unit:
La 0.1824 0.1824 0.1824 [8 per cell]  4 H 2.51-2.70
Bi 0.0000 0.0000 0.5000 [6 per cell]  4 La 3.25, 4 H 3.30
H 0.1212 0.1212 0.8788 [8 per cell]  4 La 2.51-2.70, 3 H 2.72

Values from the calculation:
**Total DFT energy (no corrections)**: -4.821 eV per atom
**Total magnetization**: 0.000 μB per formula unit


Record 4
Here is crystalline ScAl2Mo2 at its relaxed geometry from the Alexandria database. Energies are from GGA-PBE.

Unit cell a=7.0173 b=7.0173 c=3.3644 alpha=90.00 beta=90.00 gamma=90.00
Last column: nearest neighbours and their distance in Å.
Space group P4/mbm (No. 127)
Asymmetric unit:
Sc 0.0000 0.0000 0.0000 [2 per cell]  4 Al 2.77, 8 Mo 3.10
Al 0.1262 0.3738 0.0000 [4 per cell]  1 Al 2.50, 6 Mo 2.63-2.69, 2 Sc 2.77
Mo 0.1704 0.6704 0.5000 [4 per cell]  6 Al 2.63-2.69

Values from the calculation:
**Total DFT energy (no corrections)**: -7.328 eV per atom
**Total magnetization**: 0.000 μB per formula unit


Record 5
Here is crystalline AlInPb2 at its relaxed geometry from the Alexandria database. Energies are from GGA-PBE.

Unit cell a=3.5042 b=4.3075 c=7.2680 alpha=90.00 beta=90.00 gamma=90.00
Last column: nearest neighbours and their distance in Å.
Space group Pmm2 (No. 25)
Asymmetric unit:
Al 0.0000 0.0000 0.0000 [1 per cell]  4 In 3.15, 5 Pb 3.24-3.27, 2 Al 3.50
In 0.5000 0.5000 0.2052 [1 per cell]  4 Al 3.15, 5 Pb 3.16-3.30, 2 In 3.50
Pb 0.0000 0.0000 0.4494 [1 per cell]  1 Al 3.27, 4 In 3.30, 6 Pb 3.50-3.63
Pb 0.5000 0.5000 0.7706 [1 per cell]  1 In 3.16, 4 Al 3.24, 2 Pb 3.50

Values from the calculation:
**Total DFT energy (no corrections)**: -3.338 eV per atom
**Total magnetization**: 0.000 μB per formula unit


Record 6
Here is crystalline CaAg2Br at its relaxed geometry from the Alexandria database. Energies are from GGA-PBE.

Unit cell a=4.0697 b=4.0697 c=5.9613 alpha=90.00 beta=90.00 gamma=90.00
Last column: nearest neighbours and their distance in Å.
Space group P4/mmm (No. 123)
Asymmetric unit:
Ca 0.0000 0.0000 0.0000 [1 per cell]  4 Br 2.88
Ag 0.0000 0.5000 0.5000 [2 per cell]  4 Ag 2.88
Br 0.5000 0.5000 0.0000 [1 per cell]  4 Ca 2.88

Values from the calculation:
**Energy relative to the elements, uncorrected**: -501 meV per atom
**Total DFT energy (no corrections)**: -2.845 eV per atom
**Total magnetization**: 0.000 μB per formula unit


Record 7
Here is crystalline Tb3ThN3 at its relaxed geometry from the Alexandria database. Energies are from GGA-PBE.

Unit cell a=5.0310 b=5.0310 c=5.0310 alpha=90.00 beta=90.00 gamma=90.00
Last column: nearest neighbours and their distance in Å.
Space group Pm-3m (No. 221)
Asymmetric unit:
Tb 0.0000 0.0000 0.5000 [3 per cell]  4 N 2.52
Th 0.5000 0.5000 0.5000 [1 per cell]  6 N 2.52
N 0.0000 0.5000 0.5000 [3 per cell]  2 Th 2.52, 4 Tb 2.52

Values from the calculation:
**Energy relative to the elements, uncorrected**: -1348 meV per atom
**Total DFT energy (no corrections)**: -7.960 eV per atom
**Total magnetization**: 0.000 μB per formula unit


Record 8
Here is crystalline Rb4Np6Cl19 at its relaxed geometry from the Alexandria database. Energies are from GGA-PBE.

Unit cell a=12.4793 b=12.4793 c=12.4793 alpha=90.00 beta=90.00 gamma=90.00
Last column: nearest neighbours and their distance in Å.
Space group I23 (No. 197)
Asymmetric unit:
Rb 0.1493 0.1493 0.1493 [8 per cell]  4 Cl 3.23-3.61
Np 0.0000 0.1642 0.5000 [12 per cell]  6 Cl 2.77-2.81
Cl 0.0000 0.0000 0.0000 [2 per cell]  4 Rb 3.23
Cl 0.0000 0.0000 0.3510 [12 per cell]  2 Np 2.77
Cl 0.0469 0.2832 0.6850 [24 per cell]  2 Np 2.78-2.81

Values from the calculation:
**Energy relative to the elements, uncorrected**: -1701 meV per atom
**Total DFT energy (no corrections)**: -5.722 eV per atom
**Total magnetization**: 27.000 μB per formula unit


Record 9
Here is crystalline K2NaTl2 at its relaxed geometry from the Alexandria database. Energies are from GGA-PBE.

Unit cell a=5.2350 b=5.2350 c=15.9776 alpha=90.00 beta=90.00 gamma=90.00
Last column: nearest neighbours and their distance in Å.
Space group I4/mmm (No. 139)
Asymmetric unit:
K 0.0000 0.5000 0.2500 [4 per cell]  4 Tl 3.65, 4 K 3.70
Na 0.0000 0.0000 0.0000 [2 per cell]  8 Tl 3.98
Tl 0.0000 0.0000 0.4088 [4 per cell]  1 Tl 2.92

Values from the calculation:
**Total DFT energy (no corrections)**: -1.572 eV per atom
**Total magnetization**: 0.000 μB per formula unit


Record 10
Here is crystalline Al2TlCr at its relaxed geometry from the Alexandria database. Energies are from GGA-PBE.

Unit cell a=3.0150 b=3.0150 c=8.4136 alpha=90.00 beta=90.00 gamma=90.00
Last column: nearest neighbours and their distance in Å.
Space group P4/mmm (No. 123)
Asymmetric unit:
Al 0.0000 0.0000 0.1797 [2 per cell]  4 Cr 2.61
Tl 0.5000 0.5000 0.5000 [1 per cell]  4 Tl 3.02
Cr 0.5000 0.5000 0.0000 [1 per cell]  8 Al 2.61

Values from the calculation:
**Total DFT energy (no corrections)**: -4.704 eV per atom
**Total magnetization**: 2.503 μB per formula unit